Compound: Pa2Si2Tc2C
Source: the Alexandria database
Functional: PBE
Structure: optimized geometry

mass density = 10.11 Mg/m³
formation energy from raw total energies = -54 kJ/mol of atoms
Fermi-level density of states = 7.6 states/eV per cell
total magnetization = 0.00 μB per formula unit
SG = C2/m (12)

```
7
Lattice="4.1303 0.0000 0.0000 2.0651 5.4833 -0.0164 2.0651 1.2908 5.2637" Properties=species:S:1:pos:R:3 pbc="T T T"
Pa 4.1303 1.8174 3.7123
Pa 4.1303 4.9567 1.5350
Si 2.0651 2.5608 1.6632
Si 6.1954 4.2133 3.5840
Tc 4.1303 4.9128 4.6648
Tc 4.1303 1.8613 0.5825
C 0.0000 0.0000 0.0000
```